{"formula": "BaSrPdAu", "functional": "PBE", "state": "optimized geometry", "formation_energy_ev_per_atom": -0.6665, "magnetic_moment_mub_per_atom": 0.00, "total_energy_ev_per_cell": -14.74, "lattice_angstrom": [[-2.207, 2.006, -3.230], [-2.608, -3.947, -0.670], [-2.862, 0.951, 5.538]], "species": ["Ba", "Sr", "Pd", "Au"], "fractional_positions": [[0.859, 0.500, 0.718], [0.136, 0.000, 0.272], [0.576, 0.500, 0.151], [0.430, 0.000, 0.859]]}



{"formula": "InAg2Pb", "functional": "PBE", "state": "optimized geometry", "formation_energy_ev_per_atom": 0.1940, "magnetic_moment_mub_per_atom": 0.00, "total_energy_ev_per_cell": -22.75, "lattice_angstrom": [[-5.594, 3.361, 4.653], [-5.007, 0.321, -6.250], [-6.388, -0.976, -0.072]], "species": ["Pb", "Pb", "Ag", "Ag", "Ag", "Ag", "In", "In"], "fractional_positions": [[0.000, 0.000, 0.000], [0.750, 0.250, 0.500], [0.612, 0.125, 0.250], [0.138, 0.625, 0.250], [0.375, 0.388, 0.750], [0.875, 0.862, 0.750], [0.500, 0.500, 0.000], [0.250, 0.750, 0.500]]}



{"formula": "CaHoTmAl", "functional": "PBE", "state": "optimized geometry", "formation_energy_ev_per_atom": -0.0308, "magnetic_moment_mub_per_atom": 0.00, "total_energy_ev_per_cell": -14.92, "lattice_angstrom": [[-0.687, -1.662, -5.036], [-2.859, -4.408, -0.994], [-4.804, 0.395, -2.314]], "species": ["Ca", "Tm", "Ho", "Al"], "fractional_positions": [[0.250, 0.250, 0.250], [0.500, 0.500, 0.500], [0.000, 0.000, 0.000], [0.750, 0.750, 0.750]]}



{"formula": "CdRu2Br", "functional": "PBE", "state": "optimized geometry", "raw_formation_energy_kj_per_mol_atoms": 32.1, "magnetic_moment_mub_per_atom": 0.00, "total_energy_ev_per_cell": -19.81, "lattice_angstrom": [[-1.892, 1.893, 1.344], [-1.057, -2.246, 1.675], [5.680, 1.605, 5.738]], "species": ["Ru", "Ru", "Br", "Cd"], "fractional_positions": [[0.000, 0.000, 0.033], [0.500, 0.500, 0.221], [0.000, 0.000, 0.449], [0.500, 0.500, 0.797]]}



{"formula": "InCoSb4", "functional": "PBE", "state": "optimized geometry", "raw_formation_energy_kj_per_mol_atoms": 64.0, "magnetic_moment_mub_per_atom": 0.41, "total_energy_ev_per_cell": -22.35, "lattice_angstrom": [[-4.861, -3.539, 1.610], [-5.788, 2.220, -0.563], [-3.789, -2.265, -4.388]], "species": ["In", "Co", "Sb", "Sb", "Sb", "Sb"], "fractional_positions": [[0.000, 0.000, 0.000], [0.750, 0.750, 0.750], [0.875, 0.375, 0.375], [0.375, 0.375, 0.875], [0.375, 0.875, 0.375], [0.375, 0.375, 0.375]]}



{"formula": "HfRu3Pt", "functional": "PBE", "state": "optimized geometry", "formation_energy_ev_per_atom": 1.4823, "magnetic_moment_mub_per_atom": 0.64, "total_energy_ev_per_cell": -36.41, "lattice_angstrom": [[-2.906, 3.107, -2.022], [-2.483, 0.276, 3.993], [2.753, 3.529, 1.468]], "species": ["Ru", "Ru", "Ru", "Hf", "Pt"], "fractional_positions": [[0.000, 0.500, 0.000], [0.000, 0.000, 0.500], [0.500, 0.000, 0.000], [0.500, 0.500, 0.500], [0.000, 0.000, 0.000]]}



{"formula": "GaTc3C", "functional": "PBE", "state": "optimized geometry", "formation_energy_ev_per_atom": 2.8652, "magnetic_moment_mub_per_atom": 0.76, "total_energy_ev_per_cell": -29.02, "lattice_angstrom": [[4.550, 0.000, 0.000], [0.000, 4.550, 0.000], [0.000, 0.000, 4.550]], "species": ["C", "Tc", "Tc", "Tc", "Ga"], "fractional_positions": [[0.500, 0.500, 0.500], [0.000, 0.500, 0.000], [0.000, 0.000, 0.500], [0.500, 0.000, 0.000], [0.000, 0.000, 0.000]]}



{"formula": "ZnAgSe3", "functional": "PBE", "state": "optimized geometry", "raw_formation_energy_kj_per_mol_atoms": 44.6, "magnetic_moment_mub_per_atom": 0.00, "total_energy_ev_per_cell": -12.27, "lattice_angstrom": [[-3.321, -1.731, -3.243], [0.161, -4.435, 2.202], [-3.673, 1.371, 3.029]], "species": ["Zn", "Se", "Se", "Se", "Ag"], "fractional_positions": [[0.000, 0.000, 0.000], [0.000, 0.500, 0.000], [0.000, 0.000, 0.500], [0.500, 0.000, 0.000], [0.500, 0.500, 0.500]]}



Repeat the second record exactly.
{"formula": "InAg2Pb", "functional": "PBE", "state": "optimized geometry", "formation_energy_ev_per_atom": 0.1940, "magnetic_moment_mub_per_atom": 0.00, "total_energy_ev_per_cell": -22.75, "lattice_angstrom": [[-5.594, 3.361, 4.653], [-5.007, 0.321, -6.250], [-6.388, -0.976, -0.072]], "species": ["Pb", "Pb", "Ag", "Ag", "Ag", "Ag", "In", "In"], "fractional_positions": [[0.000, 0.000, 0.000], [0.750, 0.250, 0.500], [0.612, 0.125, 0.250], [0.138, 0.625, 0.250], [0.375, 0.388, 0.750], [0.875, 0.862, 0.750], [0.500, 0.500, 0.000], [0.250, 0.750, 0.500]]}



> What is the formula in the second record?

InAg2Pb